Record 1
A geometry-optimized Nb2TlNi2 structure, computed with PBE.

## Properties
Calculated volume: 86.4 Å³ per cell
Calculated total energy: -32.74 eV/cell
SG: I4/mmm (139)
E_form: 0.265 eV per atom

Cell: 3.2972 3.2972 8.2804 Å, 78.52 78.52 90.00°
Last column: nearest neighbours and their distance in Å.
Atoms (fractional coordinates):
Nb 0.6260 0.6260 0.7481  4 Ni 2.57
Ni 0.7500 0.2500 0.5000  4 Ni 2.33, 4 Nb 2.57
Tl 0.0000 0.0000 0.0000  8 Nb 3.07, 4 Tl 3.30
Nb 0.3740 0.3740 0.2519  4 Ni 2.57
Ni 0.2500 0.7500 0.5000  4 Ni 2.33, 4 Nb 2.57

***

Record 2
A geometry-optimized NiRhSe2N structure, computed with PBE.

## Properties
Calculated volume: 92.2 Å³ per cell
Formation energy (no corrections): 0.745 eV per atom
Calculated total energy: -24.70 eV/cell
SG: P4/mmm (123)
Energy above the lowest structure with this stoichiometry: 0.127 eV/atom

Cell: 5.0696 5.0696 3.5856 Å, 90.00 90.00 90.00°
Last column: nearest neighbours and their distance in Å.
Atoms (fractional coordinates):
Se 0.0000 0.5000 0.0000  2 Rh 2.53
Se 0.5000 0.0000 0.0000  2 Rh 2.53
Rh 0.0000 0.0000 0.0000  2 N 1.79
Ni 0.5000 0.5000 0.5000  8 Se 3.10
N 0.0000 0.0000 0.5000  2 Rh 1.79